First-principles (PBE) data for a relaxed structure of HgRhSe2, as listed in Alexandria via LeMat-Bulk.

Cell lengths 8.2759, 8.2759, 8.2759 Å; angles 26.59, 26.59, 26.59 degrees
Sites, in units of the cell vectors:
Rh 0.5000 0.5000 0.5000
Hg 0.0000 0.0000 0.0000
Se 0.8844 0.8844 0.8844
Se 0.1156 0.1156 0.1156

Output
total magnetization: 0.00 μB/atom
space group: No. 166
energy relative to the elements, uncorrected: -0.270 eV/atom
N(E_F): 0.71 states/eV per atom